A relaxed structure of Tl2HgS, computed with PBE.

Calculated values
For the energy above the most stable polymorph in this dataset, the calculation gives 0.052 eV per atom. The value obtained for the calculated volume is 30.186 Å³ per atom. The total energy comes out at -2.4866 eV per atom.

a b c (Å): 3.6835 3.6835 8.8990
angles (deg): 90.00 90.00 90.00
Sites, in units of the cell vectors:
1 S 0.5000 0.5000 0.0000
2 Hg 0.5000 0.5000 0.5000
3 Tl 0.0000 0.0000 0.8108
4 Tl 0.0000 0.0000 0.1892

A relaxed structure of SrYScTi2, computed with PBE.

Calculated values
The value obtained for the calculated volume is 29.383 Å³ per atom. The calculation puts the density of states at the Fermi level at 8.89 states/eV per cell. The total energy comes out at -5.1890 eV per atom.

a b c (Å): 5.1063 5.1063 5.6345
angles (deg): 90.00 90.00 90.00
Sites, in units of the cell vectors:
1 Ti 0.5000 0.0000 0.0000
2 Ti 0.0000 0.5000 0.0000
3 Y 0.0000 0.0000 0.5000
4 Sr 0.5000 0.5000 0.5000
5 Sc 0.0000 0.0000 0.0000

A relaxed structure of Y2ScAl2, computed with PBE.

Calculated values
For the energy above the most stable polymorph in this dataset, the calculation gives 0.000 eV per atom. The value obtained for the calculated volume is 25.170 Å³ per atom. The calculation puts the density of states at the Fermi level at 9.58 states/eV per cell. The total energy comes out at -5.7017 eV per atom.

a b c (Å): 7.6224 7.6224 4.3321
angles (deg): 90.00 90.00 90.00
Sites, in units of the cell vectors:
1 Y 0.8245 0.3245 0.5000
2 Y 0.3245 0.1755 0.5000
3 Y 0.1755 0.6755 0.5000
4 Y 0.6755 0.8245 0.5000
5 Al 0.8772 0.6228 0.0000
6 Al 0.1228 0.3772 0.0000
7 Al 0.3772 0.8772 0.0000
8 Al 0.6228 0.1228 0.0000
9 Sc 0.5000 0.5000 0.0000
10 Sc 0.0000 0.0000 0.0000

A relaxed structure of SrCa2Pb2, computed with PBE.

Calculated values
For the energy above the most stable polymorph in this dataset, the calculation gives 0.078 eV per atom. The value obtained for the calculated volume is 36.584 Å³ per atom. The calculation puts the density of states at the Fermi level at 3.84 states/eV per cell. The total energy comes out at -3.0259 eV per atom.

a b c (Å): 5.1116 5.1116 7.8789
angles (deg): 71.07 71.07 90.00
Sites, in units of the cell vectors:
1 Sr 0.0000 0.0000 0.0000
2 Ca 0.7500 0.2500 0.5000
3 Ca 0.2500 0.7500 0.5000
4 Pb 0.6074 0.6074 0.7851
5 Pb 0.3926 0.3926 0.2149